1.
Computed, not measured: a relaxed LaEr3Be crystal at the GGA-PBE level of DFT.

Calculated values
* formation enthalpy at 0 K: 0.203 eV per atom
* symmetry: Pm-3m (221)
* DOS at the Fermi energy: 5.12 states/eV/f.u.
* E_tot: -4.265 eV/atom
* total magnetic moment: 0.000 μB/cell

Geometry as extended XYZ:
```
5
Lattice="5.2934 0.0000 0.0000 0.0000 5.2934 0.0000 0.0000 0.0000 5.2934" Properties=species:S:1:pos:R:3 pbc="T T T"
Be 0.0000 0.0000 0.0000
La 2.6467 2.6467 2.6467
Er 0.0000 2.6467 0.0000
Er 0.0000 0.0000 2.6467
Er 2.6467 0.0000 0.0000
```



2.
Computed, not measured: a relaxed CaSc5Bi6 crystal at the GGA-PBE level of DFT.

Calculated values
* formation enthalpy at 0 K: -0.663 eV per atom
* symmetry: C2/m (12)
* DOS at the Fermi energy: 3.30 states/eV/f.u.
* E_tot: -5.408 eV/atom
* total magnetic moment: 0.000 μB/cell

Geometry as extended XYZ:
```
12
Lattice="-3.4190 -5.5362 3.7147 1.3180 -6.4999 -3.4399 5.9593 -4.0925 1.9028" Properties=species:S:1:pos:R:3 pbc="T T T"
Sc 2.5500 -6.5904 2.5984
Sc 2.4518 -3.5349 -0.4946
Sc -1.0505 -6.0181 0.1374
Sc 4.8255 -7.0574 -1.0426
Sc 1.3082 -9.5382 -0.4208
Ca 0.0000 0.0000 0.0000
Bi -0.3598 -6.0837 3.1118
Bi 1.9228 -6.5349 -0.3327
Bi -0.5176 -3.1028 0.0357
Bi -1.5834 -8.9333 0.2390
Bi 1.9354 -9.5938 2.5102
Bi 4.2180 -10.0449 -0.9343
```